MgBe2B: relaxed, GGA-PBE.

```
MgBe2B
1.0
-3.914 0.431 -0.109
-0.434 -3.496 1.764
-2.019 1.323 6.526
Be Mg B
4 2 2
direct
0.375 0.125 0.250 Be
0.375 0.625 0.250 Be
0.375 0.625 0.750 Be
0.875 0.625 0.750 Be
0.000 0.000 0.000 Mg
0.750 0.250 0.500 Mg
0.500 0.500 0.000 B
0.250 0.750 0.500 B
```

Output
The calculation puts the magnetization at 0.00 μB/f.u. The value obtained for the energy above the most stable polymorph in this dataset is 373 meV/atom. The calculation puts the total energy at -3.54 eV/atom. Its crystal system is tetragonal. Its formation energy is 1.567 eV/f.u.